This record from the Alexandria database describes a geometry-optimized TlCr2 structure. The functional is PBE-GGA.

POSCAR file:
```
TlCr2
1.0
-1.859 1.859 7.203
1.859 -1.859 7.203
1.859 1.859 -7.203
Tl Cr
2 4
Direct
0.000 0.000 0.000
0.750 0.250 0.500
0.584 0.584 0.000
0.166 0.666 0.500
0.416 0.416 0.000
0.334 0.834 0.500
```

Summary:
Mass density ... 10.290 g/cm³
D(E_F) ... 1.1039 states/eV/atom
Size of the total moment ... 0.0 Bohr magnetons per cell
E ... -6.193 eV/atom
E_form ... 1.01 eV/atom